No. 1
## Ba2Zn (PBE-GGA)

Data for a relaxed Ba2Zn crystal.

```
24
Lattice="0.0000 8.0079 8.0079 8.0079 0.0000 8.0079 8.0079 8.0079 0.0000" Properties=species:S:1:pos:R:3 pbc="T T T"
Ba 0.0000 0.0000 0.0000
Ba 4.0039 4.0039 0.0000
Ba 4.0039 0.0000 4.0039
Ba 6.0059 6.0059 2.9723
Ba 6.0059 2.9723 6.0059
Ba 9.0395 6.0059 6.0059
Ba 10.0099 10.0099 6.9762
Ba 10.0099 6.9762 10.0099
Ba 13.0435 10.0099 10.0099
Ba 0.0000 4.0039 4.0039
Ba 2.9723 6.0059 6.0059
Ba 6.0059 9.0395 6.0059
Ba 6.0059 6.0059 9.0395
Ba 6.9762 10.0099 10.0099
Ba 10.0099 13.0435 10.0099
Ba 10.0099 10.0099 13.0435
Zn 12.4669 7.5528 7.5528
Zn 3.5489 3.5489 3.5489
Zn 8.4630 8.4630 3.5489
Zn 8.4630 3.5489 8.4630
Zn 7.5528 12.4669 7.5528
Zn 7.5528 7.5528 12.4669
Zn 12.4669 12.4669 12.4669
Zn 3.5489 8.4630 8.4630
```

***

No. 2
## Ba3Zn5 (PBE-GGA)

Data for a relaxed Ba3Zn5 crystal.

```
16
Lattice="3.4160 -8.5787 0.0000 3.4160 8.5787 0.0000 -1.7241 0.0000 8.0256" Properties=species:S:1:pos:R:3 pbc="T T T"
Ba -0.1284 0.0000 5.6655
Ba 3.4160 5.7722 0.0000
Ba 2.5540 4.7398 4.0128
Ba 2.5540 -4.7398 4.0128
Ba 3.4160 -5.7722 0.0000
Ba 5.2364 0.0000 2.3601
Zn 1.6729 1.4127 3.0477
Zn 1.7738 2.5571 6.7366
Zn 2.2302 0.0000 0.8451
Zn 3.3342 2.5571 1.2890
Zn 1.6729 -1.4127 3.0477
Zn 3.4351 1.4127 4.9779
Zn 1.7738 -2.5571 6.7366
Zn 2.8778 0.0000 7.1805
Zn 3.3342 -2.5571 1.2890
Zn 3.4351 -1.4127 4.9779
```

***

No. 3
## Ba3Zn (PBE-GGA)

Data for a relaxed Ba3Zn crystal.

```
16
Lattice="8.6531 0.0000 0.0000 0.0000 11.7695 0.0000 0.0000 0.0000 7.7848" Properties=species:S:1:pos:R:3 pbc="T T T"
Ba 0.2831 2.9424 1.1098
Ba 1.5458 0.8032 5.2277
Ba 1.5458 5.0816 5.2277
Ba 2.7808 6.6879 1.3353
Ba 2.7808 10.9664 1.3353
Ba 4.0435 8.8271 5.0022
Ba 4.6096 2.9424 2.7826
Ba 5.8724 0.8032 6.4495
Ba 5.8724 5.0816 6.4495
Ba 7.1073 6.6879 2.5571
Ba 7.1073 10.9664 2.5571
Ba 8.3700 8.8271 6.6750
Zn 0.9967 8.8271 3.4537
Zn 3.3299 2.9424 7.3461
Zn 5.3233 8.8271 0.4387
Zn 7.6564 2.9424 4.3311
```

***

no.,formation enthalpy at 0 K (eV per atom),total energy (eV per atom)
1,-0.0365,-1.7430
2,-0.1177,-1.6350
3,-0.0606,-1.8211